[1]
The following is a DFT calculation (GGA+U) of an optimized crystal structure of PaVPbO5.

Computed properties:
total energy = -8.12 eV per atom
symmetry = No. 15

```
16
Lattice="3.666 -4.969 0.000 3.666 4.969 0.000 -3.394 0.000 7.394" Properties=species:S:1:pos:R:3 pbc="T T T"
Pa 0.000 0.000 0.000
Pa -1.697 0.000 3.697
V 1.121 1.821 5.545
V 2.817 -1.821 1.848
Pb 2.817 1.724 1.848
Pb 1.121 -1.724 5.545
O 2.817 4.170 1.848
O -0.102 2.941 6.545
O 0.264 0.577 4.355
O 2.343 2.941 4.546
O 1.961 -0.577 0.658
O 1.977 0.577 6.736
O 1.595 -2.941 2.848
O 3.674 -0.577 3.039
O 4.040 -2.941 0.849
O 1.121 -4.170 5.545
```

***

[2]
The following is a DFT calculation (GGA+U) of an optimized crystal structure of PaV2PbO8.

Computed properties:
total energy = -7.84 eV per atom
Fermi-level density of states = 0.545 states/eV/atom
symmetry = No. 147

```
12
Lattice="5.847 0.000 0.000 -2.924 5.064 0.000 0.000 0.000 7.129" Properties=species:S:1:pos:R:3 pbc="T T T"
Pa 0.000 0.000 0.000
V 0.000 3.376 2.015
V 2.924 1.688 5.114
Pb 0.000 0.000 3.565
O -0.006 1.666 1.418
O -1.478 4.237 1.418
O 1.439 0.839 5.711
O 0.000 3.376 3.681
O 2.924 1.688 3.448
O 1.484 4.225 1.418
O 4.401 0.827 5.711
O 2.930 3.398 5.711
```

***

[3]
The following is a DFT calculation (GGA+U) of an optimized crystal structure of PaPb2WO8.

Computed properties:
total energy = -7.35 eV per atom
Fermi-level density of states = 0.503 states/eV/atom
symmetry = No. 10

```
12
Lattice="5.332 0.000 0.000 0.000 6.829 0.000 -0.155 0.000 5.337" Properties=species:S:1:pos:R:3 pbc="T T T"
Pa 0.000 0.000 0.000
Pb 2.588 1.785 2.669
Pb 2.588 5.044 2.669
W 0.000 3.414 0.000
O 0.771 1.906 4.444
O 0.771 4.923 4.444
O 1.344 3.414 1.394
O 1.414 0.000 1.463
O 3.762 0.000 3.874
O 3.832 3.414 3.944
O 4.406 1.906 0.893
O 4.406 4.923 0.893
```

***

| no. | total magnetic moment (μB per atom) |
| --- | --- |
| 1 | 0.2500 |
| 2 | 0.0835 |
| 3 | 0.0000 |